[1]
## Pr8GeIr3Br4 (PBE-GGA)

Data for crystalline Pr8GeIr3Br4 at its relaxed geometry.

Calculated values
**E_form (uncorrected)**: -102.6 kJ/mol of atoms
**Total magnetization**: 0.00 μB/f.u.
**Crystal system**: trigonal
**SG**: No. 166

a b c (Å): 9.173 9.173 9.173
angles (deg): 55.29 55.29 55.29
Sites, in units of the cell vectors:
Pr1 0.220 0.739 0.739
Pr2 0.233 0.233 0.233
Pr3 0.261 0.261 0.780
Pr4 0.261 0.780 0.261
Pr5 0.739 0.220 0.739
Pr6 0.739 0.739 0.220
Pr7 0.767 0.767 0.767
Pr8 0.780 0.261 0.261
Ge1 0.500 0.500 0.500
Ir1 0.000 0.000 0.500
Ir2 0.000 0.500 0.000
Ir3 0.500 0.000 0.000
Br1 0.000 0.000 0.000
Br2 0.000 0.500 0.500
Br3 0.500 0.000 0.500
Br4 0.500 0.500 0.000



[2]
## Pr8Ge3IrBr4 (PBE-GGA)

Data for crystalline Pr8Ge3IrBr4 at its relaxed geometry.

Calculated values
**E_form (uncorrected)**: -107.2 kJ/mol of atoms
**Total magnetization**: 0.00 μB/f.u.
**Crystal system**: trigonal
**SG**: No. 166

a b c (Å): 8.907 8.907 8.907
angles (deg): 58.30 58.30 58.30
Sites, in units of the cell vectors:
Pr1 0.239 0.239 0.239
Pr2 0.248 0.730 0.730
Pr3 0.270 0.270 0.752
Pr4 0.270 0.752 0.270
Pr5 0.730 0.248 0.730
Pr6 0.730 0.730 0.248
Pr7 0.752 0.270 0.270
Pr8 0.761 0.761 0.761
Ge1 0.000 0.000 0.500
Ge2 0.000 0.500 0.000
Ge3 0.500 0.000 0.000
Ir1 0.500 0.500 0.500
Br1 0.000 0.000 0.000
Br2 0.000 0.500 0.500
Br3 0.500 0.000 0.500
Br4 0.500 0.500 0.000



[3]
## Ge2IrRuBr (PBE-GGA)

Data for crystalline Ge2IrRuBr at its relaxed geometry.

Calculated values
**E_form (uncorrected)**: 70.5 kJ/mol of atoms
**Total magnetization**: 0.00 μB/f.u.
**Crystal system**: tetragonal
**SG**: No. 123

a b c (Å): 4.778 4.778 4.925
angles (deg): 90.00 90.00 90.00
Sites, in units of the cell vectors:
Ge1 0.000 0.500 0.000
Ge2 0.500 0.000 0.000
Ir1 0.000 0.000 0.500
Ru1 0.000 0.000 0.000
Br1 0.500 0.500 0.500



[4]
## Ge2IrSBr (PBE-GGA)

Data for crystalline Ge2IrSBr at its relaxed geometry.

Calculated values
**E_form (uncorrected)**: 133.9 kJ/mol of atoms
**Total magnetization**: 0.00 μB/f.u.
**Crystal system**: tetragonal
**SG**: No. 123

a b c (Å): 5.314 5.314 4.531
angles (deg): 90.00 90.00 90.00
Sites, in units of the cell vectors:
Ge1 0.000 0.500 0.000
Ge2 0.500 0.000 0.000
Ir1 0.000 0.000 0.500
S1 0.500 0.500 0.500
Br1 0.000 0.000 0.000



[5]
## GeIrS2Br (PBE-GGA)

Data for crystalline GeIrS2Br at its relaxed geometry.

Calculated values
**E_form (uncorrected)**: 141.8 kJ/mol of atoms
**Total magnetization**: 0.00 μB/f.u.
**Crystal system**: tetragonal
**SG**: No. 123

a b c (Å): 4.951 4.951 4.640
angles (deg): 90.00 90.00 90.00
Sites, in units of the cell vectors:
Ge1 0.000 0.000 0.000
Ir1 0.500 0.500 0.000
S1 0.000 0.500 0.500
S2 0.500 0.000 0.500
Br1 0.500 0.500 0.500



[6]
## GeIrSe2Br (PBE-GGA)

Data for crystalline GeIrSe2Br at its relaxed geometry.

Calculated values
**E_form (uncorrected)**: 44.4 kJ/mol of atoms
**Relative energy among the computed polymorphs**: 0.000 eV per atom
**Total magnetization**: 0.00 μB/f.u.
**Crystal system**: tetragonal
**SG**: No. 123

a b c (Å): 4.934 4.934 5.029
angles (deg): 90.00 90.00 90.00
Sites, in units of the cell vectors:
Ge1 0.000 0.000 0.000
Ir1 0.500 0.500 0.500
Se1 0.000 0.500 0.500
Se2 0.500 0.000 0.500
Br1 0.500 0.500 0.000



[7]
## GeIrSe2Br (PBE-GGA)

Data for crystalline GeIrSe2Br at its relaxed geometry.

Calculated values
**E_form (uncorrected)**: 113.3 kJ/mol of atoms
**Relative energy among the computed polymorphs**: 0.715 eV per atom
**Total magnetization**: 2.73 μB/f.u.
**Crystal system**: tetragonal
**SG**: No. 123

a b c (Å): 4.975 4.975 5.022
angles (deg): 90.00 90.00 90.00
Sites, in units of the cell vectors:
Ge1 0.000 0.000 0.000
Ir1 0.500 0.500 0.500
Se1 0.000 0.500 0.000
Se2 0.500 0.000 0.000
Br1 0.000 0.000 0.500



[8]
## Sm4GeIrBr2 (PBE-GGA)

Data for crystalline Sm4GeIrBr2 at its relaxed geometry.

Calculated values
**E_form (uncorrected)**: -103.7 kJ/mol of atoms
**Total magnetization**: 0.00 μB/f.u.
**Crystal system**: monoclinic
**SG**: No. 10

a b c (Å): 7.503 4.142 7.774
angles (deg): 90.00 107.33 90.00
Sites, in units of the cell vectors:
Sm1 0.221 0.000 0.198
Sm2 0.251 0.500 0.798
Sm3 0.749 0.500 0.202
Sm4 0.779 0.000 0.802
Ge1 0.500 0.000 0.000
Ir1 0.000 0.500 0.000
Br1 0.000 0.000 0.500
Br2 0.500 0.500 0.500



> Number 8 is which compound?

Sm4GeIrBr2